Record 1
VASP calculation (PBE-GGA) on crystalline TbFe2PC at its relaxed geometry.

Cell and atoms, written as CIF:
```
data_TbFe2PC
_chemical_formula_sum 'Tb4 Fe8 P4 C4'
_cell_length_a 3.678
_cell_length_b 10.354
_cell_length_c 6.690
_cell_angle_alpha 90.00
_cell_angle_beta 90.00
_cell_angle_gamma 90.00
_space_group_name_H-M_alt 'C m c m'
_space_group_IT_number 63
_space_group_name_Hall '-C 2c 2'
loop_
_atom_site_label
_atom_site_fract_x
_atom_site_fract_y
_atom_site_fract_z
Tb1 0.000 0.049 0.250
Fe1 0.000 0.333 0.057
P1 0.000 0.230 0.750
C1 0.000 0.500 0.000
```

Calculated values
The total magnetization comes out at 0.001 μB/cell. Its energy of formation is -3.455 eV per formula unit. The calculation puts the total DFT energy (no corrections) at -7.9289 eV/atom.

---

Record 2
VASP calculation (PBE-GGA) on crystalline UFe2PC at its relaxed geometry.

Cell and atoms, written as CIF:
```
data_UFe2PC
_chemical_formula_sum 'U4 Fe8 P4 C4'
_cell_length_a 3.622
_cell_length_b 10.561
_cell_length_c 6.523
_cell_angle_alpha 90.00
_cell_angle_beta 90.00
_cell_angle_gamma 90.00
_space_group_name_H-M_alt 'C m c m'
_space_group_IT_number 63
_space_group_name_Hall '-C 2c 2'
loop_
_atom_site_label
_atom_site_fract_x
_atom_site_fract_y
_atom_site_fract_z
U1 0.000 0.053 0.250
Fe1 0.000 0.331 0.053
P1 0.000 0.223 0.750
C1 0.000 0.500 0.000
```

Calculated values
The total magnetization comes out at 5.057 μB/cell. Its energy of formation is -2.736 eV per formula unit. The calculation puts the total DFT energy (no corrections) at -9.1167 eV/atom.

---

Record 3
VASP calculation (PBE-GGA) on crystalline V2FePC at its relaxed geometry.

Cell and atoms, written as CIF:
```
data_V2FePC
_chemical_formula_sum 'V2 Fe1 P1 C1'
_cell_length_a 4.451
_cell_length_b 4.451
_cell_length_c 3.409
_cell_angle_alpha 90.00
_cell_angle_beta 90.00
_cell_angle_gamma 90.00
_space_group_name_H-M_alt 'P 4/m m m'
_space_group_IT_number 123
_space_group_name_Hall '-P 4 2'
loop_
_atom_site_label
_atom_site_fract_x
_atom_site_fract_y
_atom_site_fract_z
V1 0.000 0.500 0.000
Fe1 0.000 0.000 0.500
P1 0.500 0.500 0.000
C1 0.500 0.500 0.500
```

Calculated values
The total magnetization comes out at 1.292 μB/cell. Its energy of formation is 6.468 eV per formula unit. The calculation puts the total DFT energy (no corrections) at -6.9732 eV/atom.

---

Record 4
VASP calculation (PBE-GGA) on crystalline YFe2PC at its relaxed geometry.

Cell and atoms, written as CIF:
```
data_YFe2PC
_chemical_formula_sum 'Y4 Fe8 P4 C4'
_cell_length_a 3.667
_cell_length_b 10.355
_cell_length_c 6.684
_cell_angle_alpha 90.00
_cell_angle_beta 90.00
_cell_angle_gamma 90.00
_space_group_name_H-M_alt 'C m c m'
_space_group_IT_number 63
_space_group_name_Hall '-C 2c 2'
loop_
_atom_site_label
_atom_site_fract_x
_atom_site_fract_y
_atom_site_fract_z
Y1 0.000 0.048 0.250
Fe1 0.000 0.333 0.057
P1 0.000 0.230 0.750
C1 0.000 0.500 0.000
```

Calculated values
The total magnetization comes out at 0.000 μB/cell. Its energy of formation is -3.456 eV per formula unit. The calculation puts the total DFT energy (no corrections) at -8.2958 eV/atom.